Zr2C | Alexandria via LeMat-Bulk | GGA-PBE | optimized geometry; DFT formation energy = -0.099 eV/atom; space group = P-6m2; final energy = -8.872 eV/atom
1.0
3.260 0.000 0.000
-1.630 2.823 0.000
0.000 0.000 5.729
C Zr
1 2
direct
0.333 0.667 0.500
0.000 0.000 0.256
0.000 0.000 0.744

Zr5C | Alexandria via LeMat-Bulk | GGA-PBE | optimized geometry; DFT formation energy = 0.475 eV/atom; space group = P-62m; final energy = -8.185 eV/atom
1.0
-6.809 1.092 0.458
2.411 -5.250 -3.794
-0.137 -1.943 2.601
Zr C
5 1
direct
0.751 0.000 0.000
0.249 0.249 0.000
0.000 0.751 0.000
0.667 0.333 0.500
0.333 0.667 0.500
0.000 0.000 0.500

ZrC2 | Alexandria via LeMat-Bulk | GGA-PBE | optimized geometry; DFT formation energy = 0.946 eV/atom; space group = P4/nmm; final energy = -8.052 eV/atom
1.0
-1.557 -0.219 -2.790
-1.147 -2.863 0.864
-5.195 2.888 2.674
Zr C
2 4
direct
0.500 0.000 0.712
0.000 0.500 0.288
0.000 0.000 0.000
0.500 0.500 0.000
0.500 0.000 0.348
0.000 0.500 0.652

Zr2C | Alexandria via LeMat-Bulk | GGA-PBE | optimized geometry; DFT formation energy = 0.433 eV/atom; space group = P6_3/mmc; final energy = -8.340 eV/atom
1.0
2.413 2.328 2.938
-4.338 0.886 -0.522
-1.178 -3.543 3.776
Zr C
4 2
direct
0.000 0.000 0.000
0.000 0.000 0.500
0.333 0.667 0.750
0.667 0.333 0.250
0.333 0.667 0.250
0.667 0.333 0.750

ZrC5 | Alexandria via LeMat-Bulk | GGA-PBE | optimized geometry; DFT formation energy = 1.605 eV/atom; space group = P4/mmm; final energy = -7.507 eV/atom
1.0
3.269 0.000 0.000
0.000 3.269 0.000
0.000 0.000 5.659
Zr C
1 5
direct
0.500 0.500 0.000
0.000 0.000 0.742
0.000 0.000 0.258
0.500 0.500 0.617
0.500 0.500 0.383
0.000 0.000 0.500

ZrC2 | Alexandria via LeMat-Bulk | GGA-PBE | optimized geometry; DFT formation energy = 0.133 eV/atom; space group = P-62m; final energy = -8.866 eV/atom
1.0
3.278 -5.677 0.000
3.278 5.677 0.000
0.000 0.000 2.758
Zr C
3 6
direct
0.333 0.667 0.000
0.667 0.333 0.000
0.000 0.000 0.500
0.290 0.000 0.000
0.000 0.290 0.000
0.710 0.710 0.000
0.404 0.000 0.500
0.000 0.404 0.500
0.596 0.596 0.500

ZrC2 | Alexandria via LeMat-Bulk | GGA-PBE | optimized geometry; DFT formation energy = -0.017 eV/atom; space group = C2/m; final energy = -9.016 eV/atom
1.0
1.677 3.442 -0.007
-1.677 3.442 -0.007
0.000 1.940 6.344
Zr C
2 4
direct
0.811 0.811 0.206
0.189 0.189 0.794
0.438 0.438 0.935
0.089 0.089 0.433
0.911 0.911 0.567
0.562 0.562 0.065

Zr3C4 | Alexandria via LeMat-Bulk | GGA-PBE | optimized geometry; DFT formation energy = 0.546 eV/atom; space group = P6/mmm; final energy = -8.388 eV/atom
1.0
-5.170 3.306 0.790
0.479 -5.639 2.502
1.119 1.171 2.425
Zr C
3 4
direct
0.000 0.500 0.000
0.500 0.500 0.000
0.500 0.000 0.000
0.000 0.000 0.253
0.000 0.000 0.747
0.667 0.333 0.500
0.333 0.667 0.500

Zr5C4 | Alexandria via LeMat-Bulk | GGA-PBE | optimized geometry; DFT formation energy = -0.190 eV/atom; space group = P6_3/mcm; final energy = -9.039 eV/atom
1.0
7.143 0.000 0.000
-3.571 6.186 0.000
0.000 0.000 5.604
C Zr
8 10
direct
0.000 0.000 0.000
0.000 0.000 0.500
0.000 0.397 0.250
0.603 0.603 0.250
0.397 0.000 0.250
0.000 0.603 0.750
0.397 0.397 0.750
0.603 0.000 0.750
0.000 0.753 0.250
0.247 0.247 0.250
0.753 0.000 0.250
0.000 0.247 0.750
0.753 0.753 0.750
0.247 0.000 0.750
0.667 0.333 0.000
0.333 0.667 0.500
0.333 0.667 0.000
0.667 0.333 0.500

Zr3C2 | Alexandria via LeMat-Bulk | GGA-PBE | optimized geometry; DFT formation energy = -0.699 eV/atom; space group = P-3m1; final energy = -9.518 eV/atom
1.0
-3.138 -0.490 1.098
1.428 -2.237 -2.062
2.874 -4.065 6.399
C Zr
2 3
direct
0.667 0.333 0.174
0.333 0.667 0.826
0.000 0.000 0.000
0.667 0.333 0.681
0.333 0.667 0.319

Zr2C | Alexandria via LeMat-Bulk | GGA-PBE | optimized geometry; DFT formation energy = -0.254 eV/atom; space group = C2/m; final energy = -9.027 eV/atom
1.0
-4.828 -1.569 0.921
-2.850 -3.209 2.864
-4.304 2.330 6.350
Zr C
4 2
direct
0.811 0.811 0.625
0.575 0.575 0.123
0.425 0.425 0.877
0.189 0.189 0.375
0.183 0.183 0.867
0.817 0.817 0.133

ZrC2 | Alexandria via LeMat-Bulk | GGA-PBE | optimized geometry; DFT formation energy = 0.310 eV/atom; space group = Cmcm; final energy = -8.689 eV/atom
1.0
1.368 -4.582 0.000
1.368 4.582 0.000
0.000 0.000 4.915
Zr C
2 4
direct
0.368 0.632 0.750
0.632 0.368 0.250
0.654 0.346 0.750
0.083 0.917 0.750
0.917 0.083 0.250
0.346 0.654 0.250

Zr5C2 | Alexandria via LeMat-Bulk | GGA-PBE | optimized geometry; DFT formation energy = -0.426 eV/atom; space group = C2/c; final energy = -9.168 eV/atom
1.0
-1.821 5.003 -1.973
-4.938 -0.244 3.938
6.205 0.928 4.798
Zr C
10 4
direct
0.480 0.544 0.800
0.680 0.956 0.200
0.320 0.044 0.800
0.520 0.456 0.200
0.278 0.140 0.406
0.128 0.640 0.406
0.722 0.860 0.594
0.872 0.360 0.594
0.095 0.750 0.000
0.905 0.250 0.000
0.101 0.697 0.700
0.599 0.197 0.700
0.899 0.303 0.300
0.401 0.803 0.300

ZrC2 | Alexandria via LeMat-Bulk | GGA-PBE | optimized geometry; DFT formation energy = 0.103 eV/atom; space group = P6_3/mmc; final energy = -8.895 eV/atom
1.0
-1.031 3.199 -0.006
-1.382 -2.207 2.125
5.518 1.789 5.448
Zr C
2 4
direct
0.000 0.000 0.000
0.000 0.000 0.500
0.333 0.667 0.833
0.667 0.333 0.333
0.333 0.667 0.667
0.667 0.333 0.167

Zr4C23 | Alexandria via LeMat-Bulk | GGA-PBE | optimized geometry; DFT formation energy = 1.022 eV/atom; space group = Pm-3n; final energy = -8.102 eV/atom
1.0
7.357 0.000 0.000
0.000 7.357 0.000
0.000 0.000 7.357
Zr C
8 46
direct
0.000 0.000 0.000
0.500 0.500 0.500
0.250 0.500 0.000
0.750 0.500 0.000
0.500 0.000 0.250
0.500 0.000 0.750
0.000 0.250 0.500
0.000 0.750 0.500
0.250 0.000 0.500
0.750 0.000 0.500
0.000 0.500 0.250
0.000 0.500 0.750
0.500 0.250 0.000
0.500 0.750 0.000
0.817 0.817 0.817
0.817 0.183 0.183
0.183 0.817 0.183
0.183 0.183 0.817
0.683 0.683 0.683
0.683 0.317 0.317
0.317 0.683 0.317
0.317 0.317 0.683
0.183 0.183 0.183
0.183 0.817 0.817
0.817 0.183 0.817
0.817 0.817 0.183
0.317 0.317 0.317
0.317 0.683 0.683
0.683 0.317 0.683
0.683 0.683 0.317
0.000 0.707 0.176
0.000 0.293 0.824
0.000 0.707 0.824
0.000 0.293 0.176
0.707 0.176 0.000
0.707 0.824 0.000
0.293 0.176 0.000
0.293 0.824 0.000
0.176 0.000 0.707
0.176 0.000 0.293
0.824 0.000 0.293
0.824 0.000 0.707
0.793 0.500 0.324
0.793 0.500 0.676
0.207 0.500 0.676
0.207 0.500 0.324
0.500 0.324 0.793
0.500 0.676 0.207
0.500 0.324 0.207
0.500 0.676 0.793
0.324 0.793 0.500
0.324 0.207 0.500
0.676 0.793 0.500
0.676 0.207 0.500

ZrC2 | Alexandria via LeMat-Bulk | GGA-PBE | optimized geometry; DFT formation energy = 0.085 eV/atom; space group = P4_2/mnm; final energy = -8.914 eV/atom
1.0
4.089 0.000 0.000
0.000 4.089 0.000
0.000 0.000 4.609
Zr C
2 4
direct
0.500 0.500 0.000
0.000 0.000 0.500
0.886 0.886 0.000
0.114 0.114 0.000
0.614 0.386 0.500
0.386 0.614 0.500

ZrC2 | Alexandria via LeMat-Bulk | GGA-PBE | optimized geometry; DFT formation energy = 0.183 eV/atom; space group = P6/mmm; final energy = -8.816 eV/atom
1.0
3.001 -5.197 0.000
3.001 5.197 0.000
0.000 0.000 3.921
Zr C
3 6
direct
0.000 0.000 0.000
0.333 0.667 0.500
0.667 0.333 0.500
0.243 0.243 0.500
0.757 0.000 0.500
0.000 0.757 0.500
0.000 0.243 0.500
0.243 0.000 0.500
0.757 0.757 0.500

ZrC2 | Alexandria via LeMat-Bulk | GGA-PBE | optimized geometry; DFT formation energy = 0.256 eV/atom; space group = Cm; final energy = -8.742 eV/atom
1.0
1.448 6.083 0.021
-1.448 6.083 0.021
0.000 0.755 4.014
Zr C
2 4
direct
0.999 0.999 0.461
0.752 0.752 0.055
0.107 0.107 0.890
0.615 0.615 0.699
0.340 0.340 0.373
0.354 0.354 0.688

ZrC2 | Alexandria via LeMat-Bulk | GGA-PBE | optimized geometry; DFT formation energy = 0.436 eV/atom; space group = Cmcm; final energy = -8.563 eV/atom
1.0
-2.340 3.416 -5.517
0.529 -5.552 4.059
-2.297 0.902 1.533
Zr C
2 4
direct
0.116 0.884 0.750
0.884 0.116 0.250
0.749 0.251 0.750
0.470 0.530 0.750
0.251 0.749 0.250
0.530 0.470 0.250

Zr2C | Alexandria via LeMat-Bulk | GGA-PBE | optimized geometry; DFT formation energy = 0.250 eV/atom; space group = Cmmm; final energy = -8.524 eV/atom
1.0
2.793 -5.818 0.000
2.793 5.818 0.000
0.000 0.000 3.314
Zr C
4 2
direct
0.000 0.000 0.000
0.500 0.500 0.500
0.769 0.231 0.500
0.231 0.769 0.500
0.641 0.359 0.000
0.359 0.641 0.000